(1)
Below is crystalline Ho5ZrZn6 at its relaxed geometry, with properties calculated at the PBE-GGA level.

D(E_F) (states/eV/f.u.): 12.77
M_tot (μB/f.u.): 0.00
Energy (eV per cell): -85.6
Density (g/cm³): 8.34
Volume (Å³ per cell): 521

Cell lengths 4.9428, 14.9153, 7.0639 Å; angles 90.00, 90.00, 90.00 degrees
With the nearest neighbours (Å) after each atom.
Space group Cmmm (No. 65)
Inequivalent atoms, fractional coordinates:
Ho  0.0000  0.0000  0.0000 [2 per cell]  8 Zn 3.01-3.08
Ho  0.0000  0.3310  0.0000 [4 per cell]  8 Zn 3.07-3.12
Ho  0.0000  0.3336  0.5000 [4 per cell]  8 Zn 3.00-3.09
Zr  0.0000  0.0000  0.5000 [2 per cell]  8 Zn 2.95-2.99
Zn  0.0000  0.1610  0.2575 [8 per cell]  1 Zr 2.95, 7 Ho 3.01-3.12
Zn  0.0000  0.5000  0.2606 [4 per cell]  2 Zr 2.99, 6 Ho 3.00-3.12


(2)
Below is crystalline CaBPd2Au at its relaxed geometry, with properties calculated at the PBE-GGA level.

D(E_F) (states/eV/f.u.): 2.88
M_tot (μB/f.u.): 0.00
Energy (eV per cell): -24.5
Density (g/cm³): 9.12
Volume (Å³ per cell): 84

Cell lengths 4.3430, 4.3430, 4.4463 Å; angles 90.00, 90.00, 90.00 degrees
With the nearest neighbours (Å) after each atom.
Space group P4/mmm (No. 123)
Inequivalent atoms, fractional coordinates:
Ca  0.0000  0.0000  0.0000 [1 per cell]  4 Au 3.07, 8 Pd 3.11
B  0.5000  0.5000  0.5000 [1 per cell]  4 Pd 2.17, 2 Au 2.22
Pd  0.0000  0.5000  0.5000 [2 per cell]  2 B 2.17
Au  0.5000  0.5000  0.0000 [1 per cell]  2 B 2.22


(3)
Below is crystalline LaMgGe4 at its relaxed geometry, with properties calculated at the PBE-GGA level.

D(E_F) (states/eV/f.u.): 3.11
M_tot (μB/f.u.): 0.00
Energy (eV per cell): -106.1
Density (g/cm³): 5.82
Volume (Å³ per cell): 518

Cell lengths 8.0309, 8.0309, 8.0309 Å; angles 90.00, 90.00, 90.00 degrees
With the nearest neighbours (Å) after each atom.
Space group F-43m (No. 216)
Inequivalent atoms, fractional coordinates:
La  0.0000  0.0000  0.0000 [4 per cell]  12 Ge 3.33, 4 Mg 3.48
Mg  0.2500  0.2500  0.2500 [4 per cell]  12 Ge 3.33, 4 La 3.48
Ge  0.1240  0.1240  0.6240 [16 per cell]  6 Ge 2.82-2.86


(4)
Below is crystalline ZrTlFe3 at its relaxed geometry, with properties calculated at the PBE-GGA level.

D(E_F) (states/eV/f.u.): 4.89
M_tot (μB/f.u.): 6.08
E above lowest polymorph (meV/atom): 0.0
Density (g/cm³): 7.41
Volume (Å³ per cell): 104

Cell lengths 4.6985, 4.6985, 4.6985 Å; angles 90.00, 90.00, 90.00 degrees
With the nearest neighbours (Å) after each atom.
Space group Pm-3m (No. 221)
Inequivalent atoms, fractional coordinates:
Zr  0.0000  0.0000  0.0000 [1 per cell]  6 Fe 2.35
Tl  0.5000  0.5000  0.5000 [1 per cell]  12 Fe 3.32
Fe  0.0000  0.0000  0.5000 [3 per cell]  2 Zr 2.35


(5)
Below is crystalline GaAgN2 at its relaxed geometry, with properties calculated at the PBE-GGA level.

Raw formation energy (eV/atom): 0.7102
D(E_F) (states/eV/f.u.): 0.88
M_tot (μB/f.u.): 0.00
Density (g/cm³): 6.37
Volume (Å³ per cell): 214

Cell lengths 4.9348, 4.9348, 8.7975 Å; angles 90.00, 90.00, 90.00 degrees
With the nearest neighbours (Å) after each atom.
Space group I-42d (No. 122)
Inequivalent atoms, fractional coordinates:
Ga  0.0000  0.0000  0.0000 [4 per cell]  4 N 1.94
Ag  0.0000  0.0000  0.5000 [4 per cell]  4 N 2.19
N  0.2077  0.2500  0.1250 [8 per cell]  2 Ga 1.94


(6)
Below is crystalline Rb2TeHW at its relaxed geometry, with properties calculated at the PBE-GGA level.

D(E_F) (states/eV/f.u.): 3.60
M_tot (μB/f.u.): 3.77
Energy (eV per cell): -16.0
Density (g/cm³): 5.74
Volume (Å³ per cell): 140

Cell lengths 4.7476, 4.7476, 6.2064 Å; angles 90.00, 90.00, 90.00 degrees
With the nearest neighbours (Å) after each atom.
Space group P4/mmm (No. 123)
Inequivalent atoms, fractional coordinates:
Rb  0.0000  0.5000  0.0000 [2 per cell]  2 H 2.37
Te  0.0000  0.0000  0.5000 [1 per cell]  2 H 3.10, 4 W 3.36
H  0.0000  0.0000  0.0000 [1 per cell]  4 Rb 2.37
W  0.5000  0.5000  0.5000 [1 per cell]  4 Te 3.36


(7)
Below is crystalline CrReSN2 at its relaxed geometry, with properties calculated at the PBE-GGA level.

Raw formation energy (eV/atom): 0.4495
D(E_F) (states/eV/f.u.): 3.23
M_tot (μB/f.u.): 3.84
E above lowest polymorph (meV/atom): 0.0
Density (g/cm³): 6.59
Volume (Å³ per cell): 75

Cell lengths 3.8036, 3.8036, 5.1916 Å; angles 90.00, 90.00, 90.00 degrees
With the nearest neighbours (Å) after each atom.
Space group P4/mmm (No. 123)
Inequivalent atoms, fractional coordinates:
Cr  0.0000  0.0000  0.0000 [1 per cell]  4 S 2.69
Re  0.5000  0.5000  0.5000 [1 per cell]  4 N 1.90
S  0.5000  0.5000  0.0000 [1 per cell]  2 Re 2.60, 4 Cr 2.69
N  0.0000  0.5000  0.5000 [2 per cell]  2 Re 1.90


(8)
Below is crystalline UZnSe2 at its relaxed geometry, with properties calculated at the PBE-GGA level.

Raw formation energy (eV/atom): -0.5978
D(E_F) (states/eV/f.u.): 5.18
M_tot (μB/f.u.): 1.99
Density (g/cm³): 5.44
Volume (Å³ per cell): 423

Cell lengths 4.0786, 4.0786, 29.3470 Å; angles 90.00, 90.00, 120.00 degrees
With the nearest neighbours (Å) after each atom.
Space group R-3m (No. 166, hexagonal axes)
Inequivalent atoms, fractional coordinates:
U  0.0000  0.0000  0.0000 [3 per cell]  6 Se 2.83
Zn  0.0000  0.0000  0.5000 [3 per cell]  2 Se 3.32
Se  0.0000  0.0000  0.3868 [6 per cell]  3 U 2.83


(9)
Below is crystalline Ga5FeRu6 at its relaxed geometry, with properties calculated at the PBE-GGA level.

D(E_F) (states/eV/f.u.): 12.10
M_tot (μB/f.u.): 2.83
Energy (eV per cell): -164.6
Density (g/cm³): 10.17
Volume (Å³ per cell): 330

Cell lengths 4.2664, 12.8063, 6.0397 Å; angles 90.00, 90.00, 90.00 degrees
With the nearest neighbours (Å) after each atom.
Space group Cmmm (No. 65)
Inequivalent atoms, fractional coordinates:
Ga  0.0000  0.0000  0.0000 [2 per cell]  8 Ru 2.60-2.62
Ga  0.0000  0.3339  0.0000 [4 per cell]  8 Ru 2.61-2.63
Ga  0.0000  0.3353  0.5000 [4 per cell]  8 Ru 2.59-2.65
Fe  0.0000  0.0000  0.5000 [2 per cell]  8 Ru 2.60-2.61
Ru  0.0000  0.1655  0.2504 [8 per cell]  1 Fe 2.60, 7 Ga 2.60-2.65
Ru  0.0000  0.5000  0.2515 [4 per cell]  6 Ga 2.59-2.62, 2 Fe 2.61


(10)
Below is crystalline MgBeGe at its relaxed geometry, with properties calculated at the PBE-GGA level.

D(E_F) (states/eV/f.u.): 1.50
M_tot (μB/f.u.): 0.00
Energy (eV per cell): -10.0
Density (g/cm³): 3.57
Volume (Å³ per cell): 49

Cell lengths 3.8530, 3.8530, 3.8325 Å; angles 90.00, 90.00, 120.00 degrees
With the nearest neighbours (Å) after each atom.
Space group P-6m2 (No. 187)
Inequivalent atoms, fractional coordinates:
Mg  0.0000  0.0000  0.0000 [1 per cell]  6 Ge 2.94, 6 Be 2.94
Be  0.3333  0.6667  0.5000 [1 per cell]  3 Ge 2.22
Ge  0.6667  0.3333  0.5000 [1 per cell]  3 Be 2.22


(11)
Below is crystalline Zr2PdPt5Rh at its relaxed geometry, with properties calculated at the PBE-GGA level.

D(E_F) (states/eV/f.u.): 7.52
M_tot (μB/f.u.): 0.00
Energy (eV per cell): -241.3
Density (g/cm³): 13.53
Volume (Å³ per cell): 671

Cell lengths 7.9412, 7.9412, 10.6424 Å; angles 90.00, 90.00, 90.00 degrees
With the nearest neighbours (Å) after each atom.
Space group I4/mcm (No. 140)
Inequivalent atoms, fractional coordinates:
Zr  0.1214  0.3786  0.0000 [8 per cell]  2 Pt 2.49, 1 Zr 2.73
Pd  0.0000  0.0000  0.2500 [4 per cell]  2 Pt 2.66
Pt  0.0000  0.0000  0.0000 [4 per cell]  2 Pd 2.66
Pt  0.1967  0.3033  0.3664 [16 per cell]  1 Zr 2.49, 1 Rh 2.53, 1 Pt 2.75
Rh  0.0000  0.5000  0.2500 [4 per cell]  4 Pt 2.53


(12)
Below is crystalline PmAlIn at its relaxed geometry, with properties calculated at the PBE-GGA level.

D(E_F) (states/eV/f.u.): 1.06
M_tot (μB/f.u.): 0.00
E above lowest polymorph (meV/atom): 0.0
Density (g/cm³): 6.47
Volume (Å³ per cell): 294

Cell lengths 4.7806, 7.4762, 8.2377 Å; angles 90.00, 90.00, 90.00 degrees
With the nearest neighbours (Å) after each atom.
Space group Imma (No. 74)
Inequivalent atoms, fractional coordinates:
Pm  0.0000  0.0000  0.0000 [4 per cell]  6 Al 3.24-3.37, 6 In 3.29-3.41
Al  0.0000  0.2500  0.3210 [4 per cell]  2 Al 2.66, 1 In 2.75
In  0.0000  0.2500  0.6545 [4 per cell]  1 Al 2.75, 2 In 2.86


(13)
Below is crystalline HoHfZr at its relaxed geometry, with properties calculated at the PBE-GGA level.

D(E_F) (states/eV/f.u.): 4.87
M_tot (μB/f.u.): 0.00
E above lowest polymorph (meV/atom): 55.0
Density (g/cm³): 9.76
Volume (Å³ per cell): 74

Cell lengths 5.1469, 5.1469, 3.2230 Å; angles 90.00, 90.00, 120.00 degrees
With the nearest neighbours (Å) after each atom.
Space group P-6m2 (No. 187)
Inequivalent atoms, fractional coordinates:
Ho  0.0000  0.0000  0.0000 [1 per cell]  3 Hf 2.97, 2 Ho 3.22
Hf  0.3333  0.6667  0.0000 [1 per cell]  3 Ho 2.97, 2 Hf 3.22
Zr  0.6667  0.3333  0.5000 [1 per cell]  2 Zr 3.22, 6 Ho 3.38, 6 Hf 3.38


(14)
Below is crystalline IrWBr2 at its relaxed geometry, with properties calculated at the PBE-GGA level.

Raw formation energy (eV/atom): 1.1971
D(E_F) (states/eV/f.u.): 4.34
M_tot (μB/f.u.): 1.03
E above lowest polymorph (meV/atom): 1126.2
Density (g/cm³): 12.15
Volume (Å³ per cell): 73

Cell lengths 2.9357, 4.5409, 5.4928 Å; angles 90.00, 90.00, 90.00 degrees
With the nearest neighbours (Å) after each atom.
Space group Pmmm (No. 47)
Inequivalent atoms, fractional coordinates:
Ir  0.0000  0.0000  0.0000 [1 per cell]  4 Br 2.70, 2 Ir 2.94
W  0.5000  0.0000  0.5000 [1 per cell]  4 Br 2.70, 2 W 2.94
Br  0.0000  0.5000  0.5000 [1 per cell]  4 W 2.70, 2 Br 2.94
Br  0.5000  0.5000  0.0000 [1 per cell]  4 Ir 2.70, 2 Br 2.94


(15)
Below is crystalline Zn2InPt at its relaxed geometry, with properties calculated at the PBE-GGA level.

D(E_F) (states/eV/f.u.): 0.96
M_tot (μB/f.u.): 0.00
Energy (eV per cell): -23.8
Density (g/cm³): 10.94
Volume (Å³ per cell): 134

Cell lengths 5.6397, 7.8819, 3.0087 Å; angles 90.00, 90.00, 90.00 degrees
With the nearest neighbours (Å) after each atom.
Space group Cmmm (No. 65)
Inequivalent atoms, fractional coordinates:
Zn  0.2500  0.2500  0.0000 [4 per cell]  4 Zn 2.82-3.01, 4 Pt 2.85, 4 In 2.85
In  0.0000  0.0000  0.5000 [2 per cell]  2 Pt 2.82, 8 Zn 2.85, 2 In 3.01
Pt  0.0000  0.5000  0.5000 [2 per cell]  2 In 2.82, 8 Zn 2.85, 2 Pt 3.01


(16)
Below is crystalline Ce8C3Br3N at its relaxed geometry, with properties calculated at the PBE-GGA level.

Raw formation energy (eV/atom): -0.8149
D(E_F) (states/eV/f.u.): 27.09
M_tot (μB/f.u.): 7.01
Density (g/cm³): 6.78
Volume (Å³ per cell): 1036

Cell lengths 7.2728, 7.2728, 22.6196 Å; angles 90.00, 90.00, 120.00 degrees
With the nearest neighbours (Å) after each atom.
Space group R-3m (No. 166, hexagonal axes)
Inequivalent atoms, fractional coordinates:
Ce  0.0000  0.0000  0.2285 [6 per cell]  3 C 2.52
Ce  0.0011  0.5006  0.2279 [18 per cell]  1 N 2.51, 2 C 2.52
C  0.0000  0.5000  0.5000 [9 per cell]  6 Ce 2.52
Br  0.0000  0.5000  0.0000 [9 per cell]  6 Ce 3.17-3.18
N  0.0000  0.0000  0.5000 [3 per cell]  6 Ce 2.51


(17)
Below is crystalline NdSmHo at its relaxed geometry, with properties calculated at the PBE-GGA level.

D(E_F) (states/eV/f.u.): 4.60
M_tot (μB/f.u.): 0.00
E above lowest polymorph (meV/atom): 44.6
Density (g/cm³): 7.68
Volume (Å³ per cell): 99

Cell lengths 5.7112, 5.7112, 3.5167 Å; angles 90.00, 90.00, 120.00 degrees
With the nearest neighbours (Å) after each atom.
Space group P3m1 (No. 156)
Inequivalent atoms, fractional coordinates:
Nd  0.0000  0.0000  0.0000 [1 per cell]  3 Ho 3.30, 2 Nd 3.52
Sm  0.6667  0.3333  0.5006 [1 per cell]  2 Sm 3.52, 6 Ho 3.74, 6 Nd 3.74
Ho  0.3333  0.6667  0.0016 [1 per cell]  3 Nd 3.30, 2 Ho 3.52


(18)
Below is crystalline Np3B4Ir11 at its relaxed geometry, with properties calculated at the PBE-GGA level.

D(E_F) (states/eV/f.u.): 32.61
M_tot (μB/f.u.): 9.23
Energy (eV per cell): -169.4
Density (g/cm³): 17.68
Volume (Å³ per cell): 269

Cell lengths 5.4278, 5.4278, 10.5619 Å; angles 90.00, 90.00, 120.00 degrees
With the nearest neighbours (Å) after each atom.
Space group P6/mmm (No. 191)
Inequivalent atoms, fractional coordinates:
Np  0.0000  0.0000  0.0000 [1 per cell]  18 Ir 3.13-3.49
Np  0.0000  0.0000  0.3461 [2 per cell]  12 Ir 3.08-3.16, 6 B 3.13, 1 Np 3.25
B  0.3333  0.6667  0.3517 [4 per cell]  6 Ir 2.18-2.22
Ir  0.0000  0.5000  0.2082 [6 per cell]  2 B 2.18
Ir  0.0000  0.5000  0.5000 [3 per cell]  4 B 2.22
Ir  0.3333  0.6667  0.0000 [2 per cell]  6 Ir 2.70


(19)
Below is crystalline SmGa2Cu6 at its relaxed geometry, with properties calculated at the PBE-GGA level.

D(E_F) (states/eV/f.u.): 4.42
M_tot (μB/f.u.): 0.00
E above lowest polymorph (meV/atom): 0.0
Density (g/cm³): 8.13
Volume (Å³ per cell): 137

Cell lengths 4.1757, 4.1757, 7.8566 Å; angles 90.00, 90.00, 90.00 degrees
With the nearest neighbours (Å) after each atom.
Space group P4/mmm (No. 123)
Inequivalent atoms, fractional coordinates:
Sm  0.0000  0.0000  0.0000 [1 per cell]  8 Ga 3.20, 8 Cu 3.28
Ga  0.5000  0.5000  0.1585 [2 per cell]  5 Cu 2.45-2.68, 1 Ga 2.49
Cu  0.0000  0.0000  0.5000 [1 per cell]  8 Cu 2.51
Cu  0.0000  0.5000  0.3225 [4 per cell]  2 Ga 2.45, 4 Cu 2.51
Cu  0.5000  0.5000  0.5000 [1 per cell]  8 Cu 2.51, 2 Ga 2.68


(20)
Below is crystalline Sr3Mo at its relaxed geometry, with properties calculated at the PBE-GGA level.

D(E_F) (states/eV/f.u.): 3.72
M_tot (μB/f.u.): 2.69
E above lowest polymorph (meV/atom): 4.5
Density (g/cm³): 3.77
Volume (Å³ per cell): 158

Cell lengths 3.9376, 3.9376, 10.1991 Å; angles 90.00, 90.00, 90.00 degrees
With the nearest neighbours (Å) after each atom.
Space group P4/mmm (No. 123)
Inequivalent atoms, fractional coordinates:
Sr  0.0000  0.0000  0.0000 [1 per cell]  12 Sr 3.94-4.25
Sr  0.5000  0.5000  0.3153 [2 per cell]  4 Mo 3.36
Mo  0.0000  0.0000  0.5000 [1 per cell]  8 Sr 3.36